Compound: Ca4InNi
Source: Alexandria via LeMat-Bulk
Functional: PBE
Structure: optimized geometry

Summary:
Electronic total energy ... -2.96 eV per atom
DOS(E_F) ... 17.073 states/eV/cell
Total magnetic moment ... 0.00 μB per atom
Energy above the lowest structure with this stoichiometry ... 0.0 kJ/mol of formula units

Lattice parameters (Å, degrees): 9.1849 13.8486 5.9764 90.00 109.39 90.00
With the nearest neighbours (Å) after each atom.
Space group C2/c (No. 15)
Symmetry-distinct sites (fractional):
Ca1 0.1136 0.1683 0.0595 x8  2 Ni 2.92-2.95
Ca2 0.2090 0.4259 0.3558 x8  2 Ni 3.09-3.12, 1 In 3.37
In1 0.0000 0.3685 0.7500 x4  10 Ca 3.30-3.59
Ni1 0.0000 0.0011 0.2500 x4  8 Ca 2.92-3.12, 2 Ni 2.99

***

Compound: NaTiS2
Source: Alexandria via LeMat-Bulk
Functional: PBE
Structure: optimized geometry

Summary:
Energy relative to the elements, uncorrected ... -1.3512 eV per atom
Electronic total energy ... -5.72 eV per atom
DOS(E_F) ... 7.829 states/eV/cell
Total magnetic moment ... 0.16 μB per atom

Lattice parameters (Å, degrees): 3.5543 3.5543 20.1150 90.00 90.00 120.00
With the nearest neighbours (Å) after each atom.
Space group R-3m (No. 166, hexagonal axes)
Symmetry-distinct sites (fractional):
Na1 0.0000 0.0000 0.0000 x3  6 S 2.82
Ti1 0.0000 0.0000 0.5000 x3  6 S 2.49
S1 0.0000 0.0000 0.2372 x6  3 Ti 2.49

***

Compound: PmCd4In
Source: Alexandria via LeMat-Bulk
Functional: PBE
Structure: optimized geometry

Summary:
Electronic total energy ... -1.97 eV per atom
DOS(E_F) ... 19.281 states/eV/cell
Total magnetic moment ... 0.00 μB per atom
Energy above the lowest structure with this stoichiometry ... 72.9 kJ/mol of formula units

Lattice parameters (Å, degrees): 8.4545 8.4545 8.4545 90.00 90.00 90.00
With the nearest neighbours (Å) after each atom.
Space group F-43m (No. 216)
Symmetry-distinct sites (fractional):
Pm1 0.0000 0.0000 0.0000 x4  12 Cd 3.50, 4 In 3.66
Cd1 0.1253 0.1253 0.3747 x16  6 Cd 2.98-3.00
In1 0.2500 0.2500 0.7500 x4  12 Cd 3.51, 4 Pm 3.66

***

Compound: KAuCl
Source: Alexandria via LeMat-Bulk
Functional: PBE
Structure: optimized geometry

Summary:
Energy relative to the elements, uncorrected ... -0.5343 eV per atom
Electronic total energy ... -2.61 eV per atom
DOS(E_F) ... 1.902 states/eV/cell
Total magnetic moment ... 0.00 μB per atom
Energy above the lowest structure with this stoichiometry ... 44.4 kJ/mol of formula units

Lattice parameters (Å, degrees): 4.9154 4.9154 4.1455 90.00 90.00 120.00
With the nearest neighbours (Å) after each atom.
Space group P-6m2 (No. 187)
Symmetry-distinct sites (fractional):
K1 0.0000 0.0000 0.0000 x1  6 Cl 3.51, 6 Au 3.51
Au1 0.6667 0.3333 0.5000 x1  3 Cl 2.84
Cl1 0.3333 0.6667 0.5000 x1  3 Au 2.84

***

Compound: CaTaPb
Source: Alexandria via LeMat-Bulk
Functional: PBE
Structure: optimized geometry

Summary:
Electronic total energy ... -5.48 eV per atom
DOS(E_F) ... 7.711 states/eV/cell
Total magnetic moment ... 0.00 μB per atom
Energy above the lowest structure with this stoichiometry ... 4.0 kJ/mol of formula units

Lattice parameters (Å, degrees): 3.1624 3.1624 14.7962 90.00 90.00 90.00
With the nearest neighbours (Å) after each atom.
Space group I4mm (No. 107)
Symmetry-distinct sites (fractional):
Ca1 0.0000 0.0000 0.0000 x2  4 Ca 3.16, 4 Ta 3.36, 4 Pb 3.50
Ta1 0.0000 0.0000 0.3310 x2  4 Pb 3.14, 4 Ta 3.16, 4 Ca 3.36
Pb1 0.0000 0.0000 0.6816 x2  4 Ta 3.14, 4 Pb 3.16, 4 Ca 3.50

***

Compound: RbBa2HRh
Source: Alexandria via LeMat-Bulk
Functional: PBE
Structure: optimized geometry

Summary:
Electronic total energy ... -2.88 eV per atom
DOS(E_F) ... 5.244 states/eV/cell
Total magnetic moment ... 0.00 μB per atom

Lattice parameters (Å, degrees): 5.7328 5.7328 4.5354 90.00 90.00 90.00
With the nearest neighbours (Å) after each atom.
Space group P4/mmm (No. 123)
Symmetry-distinct sites (fractional):
Rb1 0.0000 0.0000 0.0000 x1  8 Ba 3.65, 4 Rh 4.05
Ba1 0.0000 0.5000 0.5000 x2  2 H 2.87
H1 0.5000 0.5000 0.5000 x1  2 Rh 2.27
Rh1 0.5000 0.5000 0.0000 x1  2 H 2.27

***

What is the DOS(E_F) in the first record?
17.073 states/eV/cell

***

The lowest electronic total energy belongs to which entry?
NaTiS2

***

electronic total energy of number 4 (KAuCl)?
-2.61 eV per atom